A geometry-optimized Ag2PbO2 structure. Source: Alexandria, functional PBE. Values from VASP.

```
&SYSTEM
  ibrav = 0, nat = 10, ntyp = 3
/
ATOMIC_SPECIES
Ag 107.87 Ag.upf
Pb 207.20 Pb.upf
O 16.00 O.upf
CELL_PARAMETERS angstrom
7.1158 0.0000 0.0000
0.0000 7.1158 0.0000
0.0000 0.0000 3.1171
ATOMIC_POSITIONS angstrom
Ag 0.9269 2.6311 0.0000
Ag 2.6311 6.1890 0.0000
Ag 4.4848 0.9269 0.0000
Ag 6.1890 4.4848 0.0000
Pb 0.0000 0.0000 0.0000
Pb 3.5579 3.5579 0.0000
O 1.3061 4.8640 1.5585
O 2.2519 1.3061 1.5585
O 4.8640 5.8098 1.5585
O 5.8098 2.2519 1.5585
```

Results
Formation energy (no corrections) in eV/atom: 0.086
D(E_F) in states/eV per cell: 0.2

A geometry-optimized KMn3Zn structure. Source: Alexandria, functional PBE. Values from VASP.

```
&SYSTEM
  ibrav = 0, nat = 5, ntyp = 3
/
ATOMIC_SPECIES
K 39.10 K.upf
Mn 54.94 Mn.upf
Zn 65.41 Zn.upf
CELL_PARAMETERS angstrom
4.9705 0.0000 0.0000
0.0000 4.9705 0.0000
0.0000 0.0000 4.9705
ATOMIC_POSITIONS angstrom
K 0.0000 0.0000 0.0000
Mn 0.0000 2.4852 2.4852
Mn 2.4852 0.0000 2.4852
Mn 2.4852 2.4852 0.0000
Zn 2.4852 2.4852 2.4852
```

Results
D(E_F) in states/eV per cell: 6.0
Distance to the lowest polymorph of the same formula in meV per atom: 0
Formation energy from the elements in eV per formula unit: 4.83

A geometry-optimized SrLi2CeS4 structure. Source: Alexandria, functional PBE. Values from VASP.

```
&SYSTEM
  ibrav = 0, nat = 8, ntyp = 4
/
ATOMIC_SPECIES
Sr 87.62 Sr.upf
Li 6.94 Li.upf
Ce 140.12 Ce.upf
S 32.06 S.upf
CELL_PARAMETERS angstrom
-3.4092 3.4092 3.9147
3.4092 -3.4092 3.9147
3.4092 3.4092 -3.9147
ATOMIC_POSITIONS angstrom
Sr 0.0000 0.0000 0.0000
Li 3.4092 0.0000 1.9574
Li 0.0000 3.4092 1.9574
Ce 0.0000 0.0000 3.9147
S 1.8649 1.8649 -1.4852
S 1.5443 -1.5443 5.3999
S 1.5443 1.5443 2.4296
S -1.5443 1.5443 5.3999
```

Results
Formation energy (no corrections) in eV/atom: -1.577

A geometry-optimized PrNdWN4 structure. Source: Alexandria, functional PBE. Values from VASP.

```
&SYSTEM
  ibrav = 0, nat = 7, ntyp = 4
/
ATOMIC_SPECIES
Pr 140.91 Pr.upf
Nd 144.24 Nd.upf
W 183.84 W.upf
N 14.01 N.upf
CELL_PARAMETERS angstrom
-1.9868 1.9868 6.3122
1.9868 -1.9868 6.3122
1.9868 1.9868 -6.3122
ATOMIC_POSITIONS angstrom
Pr 0.0000 0.0000 0.0000
Nd 0.0000 0.0000 8.9515
W 0.0000 0.0000 4.4617
N 0.0000 0.0000 2.4033
N 1.9868 0.0000 4.4739
N 0.0000 0.0000 6.5704
N 0.0000 1.9868 4.4739
```

Results
Formation energy (no corrections) in eV/atom: -1.042
D(E_F) in states/eV per cell: 1.4